1.
DFT (PBE) results for Ba2SeS after structural relaxation.

```
Ba2SeS
1.0
7.244 0.000 0.000
0.000 7.244 0.000
3.622 3.622 7.137
Se Ba S
2 4 2
direct
0.000 0.000 0.000
0.750 0.250 0.500
0.875 0.861 0.750
0.611 0.125 0.250
0.139 0.625 0.250
0.375 0.389 0.750
0.250 0.750 0.500
0.500 0.500 0.000
```

Symmetry = I-42d (122)
Formation energy from raw total energies = -1.827 eV/atom


2.
DFT (PBE) results for BaY2W after structural relaxation.

```
BaY2W
1.0
11.142 -0.025 -0.015
10.549 3.588 -0.015
10.549 1.733 3.142
Y W Ba
2 1 1
direct
0.478 0.478 0.478
0.022 0.022 0.022
0.750 0.750 0.750
0.250 0.250 0.250
```

DFT formation energy = 0.69 eV/atom
Symmetry = R-3m (166)


3.
DFT (PBE) results for AlAg3 after structural relaxation.

```
AlAg3
1.0
-0.451 -3.441 3.790
4.269 2.485 2.764
-3.275 1.467 3.739
Ag Al
6 2
direct
0.000 0.004 0.000
0.000 0.739 0.500
0.000 0.511 0.000
0.000 0.246 0.500
0.500 0.982 0.500
0.500 0.268 0.000
0.500 0.764 0.000
0.500 0.486 0.500
```

DFT formation energy = -0.03 eV/atom
Symmetry = P2/c (13)


4.
DFT (PBE) results for InFeIr3 after structural relaxation.

```
InFeIr3
1.0
4.496 0.000 0.000
0.000 4.496 0.000
0.000 0.000 4.496
Ir In Fe
3 1 1
direct
0.500 0.000 0.000
0.000 0.500 0.000
0.000 0.000 0.500
0.500 0.500 0.500
0.000 0.000 0.000
```

DFT formation energy = 1.16 eV/atom
Symmetry = Pm-3m (221)


5.
DFT (PBE) results for KYPt2O after structural relaxation.

```
KYPt2O
1.0
5.051 0.000 0.000
0.000 4.410 0.000
0.000 0.000 5.051
Pt O K Y
2 1 1 1
direct
0.500 0.000 0.000
0.000 0.000 0.500
0.000 0.500 0.000
0.000 0.000 0.000
0.500 0.500 0.500
```

Symmetry = P4/mmm (123)
Formation energy from raw total energies = 0.743 eV/atom


6.
DFT (PBE) results for Sc2MoBr after structural relaxation.

```
Sc2MoBr
1.0
5.558 0.013 0.022
4.667 3.019 0.022
1.030 0.305 4.912
Sc Mo Br
2 1 1
direct
0.970 0.970 0.078
0.760 0.760 0.708
0.237 0.237 0.181
0.533 0.533 0.533
```

Symmetry = Cm (8)
Formation energy from raw total energies = -0.002 eV/atom